Record 1
First-principles (PBE) data for a geometry-optimized MgAlInSb structure, as listed in Alexandria.

Properties
Electronic total energy in eV per atom: -2.988
DOS at the Fermi energy in states/eV per atom: 0.538
Formation energy from raw total energies in eV per atom: 0.061
M_tot in μB/f.u.: 0.0

a b c (Å): 7.2238 7.2238 7.2238
angles (deg): 90.00 90.00 90.00
Space group F-43m (No. 216)
Symmetry-distinct sites (fractional):
Mg 0.0000 0.0000 0.0000 x4
Al 0.0000 0.0000 0.5000 x4
In 0.2500 0.2500 0.7500 x4
Sb 0.2500 0.2500 0.2500 x4

Record 2
First-principles (PBE) data for a geometry-optimized NdGe4Rh2 structure, as listed in Alexandria.

Properties
Electronic total energy in eV per atom: -6.073
DOS at the Fermi energy in states/eV per atom: 0.406
M_tot in μB/f.u.: 0.0
Energy relative to the elements in eV per atom: -0.652

a b c (Å): 17.5257 4.3005 6.6748
angles (deg): 90.00 90.00 90.00
Space group Pnma (No. 62)
Symmetry-distinct sites (fractional):
Nd 0.1414 0.2500 0.0049 x4
Ge 0.0321 0.7500 0.1388 x4
Ge 0.0659 0.2500 0.5319 x4
Ge 0.1819 0.7500 0.6993 x4
Ge 0.1938 0.7500 0.2870 x4
Rh 0.0313 0.7500 0.7479 x4
Rh 0.2095 0.2500 0.4905 x4